(1)
AgBiPO2: single point on PBEsol structure, meta-GGA SCAN.

Summary:
For the uncorrected energy, the calculation gives -26.26 eV/atom. The volume comes out at 15.68 Å³ per atom. The uncorrected formation energy is 0.30 eV/atom. For the magnetic moment, the calculation gives 0.00 μB/f.u.

Cell and atoms, written as POSCAR:
```
AgBiPO2
1.0
4.0836 0.0000 0.0000
0.0000 4.0836 0.0000
0.0000 0.0000 4.7017
Ag Bi P O
1 1 1 2
Cartesian
0.0000 0.0000 0.0000
2.0418 2.0418 2.3508
0.0000 0.0000 2.3508
0.0000 2.0418 0.0000
2.0418 0.0000 0.0000
```

***

(2)
BeGe2BO: single point on PBEsol structure, meta-GGA SCAN.

Summary:
For the uncorrected energy, the calculation gives -10.83 eV/atom. The volume comes out at 13.34 Å³ per atom. The uncorrected formation energy is 0.40 eV/atom. For the magnetic moment, the calculation gives 0.00 μB/f.u.

Cell and atoms, written as POSCAR:
```
BeGe2BO
1.0
4.7939 0.0000 0.0000
0.0000 4.7939 0.0000
0.0000 0.0000 2.9032
Be Ge B O
1 2 1 1
Cartesian
0.0000 0.0000 0.0000
0.0000 2.3969 0.0000
2.3969 0.0000 0.0000
2.3969 2.3969 1.4516
0.0000 0.0000 1.4516
```

***

(3)
Li2Ti2VO6: single point on PBEsol structure, meta-GGA SCAN.

Summary:
For the uncorrected energy, the calculation gives -11.18 eV/atom. The volume comes out at 10.23 Å³ per atom. The uncorrected formation energy is -2.84 eV/atom. For the magnetic moment, the calculation gives 3.00 μB/f.u. The polymorph energy (0 for the lowest one) comes out at 0.32 eV/f.u.

Cell and atoms, written as POSCAR:
```
Li2Ti2VO6
1.0
4.3816 -2.5120 0.0000
4.3816 2.5120 0.0000
0.0000 0.0000 10.2231
Li Ti V O
4 4 2 12
Cartesian
2.1908 0.4776 2.5558
2.1908 -0.4776 7.6673
6.5723 0.4776 2.5558
6.5723 -0.4776 7.6673
1.4118 0.0000 0.0000
2.9697 0.0000 5.1115
5.7934 0.0000 5.1115
7.3513 0.0000 0.0000
0.0000 0.0000 5.1115
4.3816 0.0000 0.0000
1.5274 0.8492 6.2241
2.8542 0.8492 9.1105
4.3816 1.6999 1.0599
4.3816 0.8121 6.1714
1.5274 -0.8492 3.9990
2.8542 -0.8492 1.1125
5.9089 0.8492 9.1105
7.2357 0.8492 6.2241
4.3816 -0.8121 4.0516
4.3816 -1.6999 9.1632
5.9089 -0.8492 1.1125
7.2357 -0.8492 3.9990
```

***

(4)
La2MnSe: single point on PBEsol structure, meta-GGA SCAN.

Summary:
For the uncorrected energy, the calculation gives -31.71 eV/atom. The volume comes out at 25.94 Å³ per atom. The uncorrected formation energy is -0.57 eV/atom. For the magnetic moment, the calculation gives 3.30 μB/f.u.

Cell and atoms, written as POSCAR:
```
La2MnSe
1.0
3.5395 0.0000 0.0000
0.0000 3.5395 0.0000
0.0000 0.0000 8.2817
La Mn Se
2 1 1
Cartesian
0.0000 0.0000 0.0000
1.7698 1.7698 3.3303
0.0000 0.0000 5.2218
1.7698 1.7698 6.4364
```

***

(5)
ScTaIr2: single point on PBEsol structure, meta-GGA SCAN.

Summary:
For the uncorrected energy, the calculation gives -56.66 eV/atom. The volume comes out at 16.07 Å³ per atom. For the magnetic moment, the calculation gives 0.00 μB/f.u.

Cell and atoms, written as POSCAR:
```
ScTaIr2
1.0
2.9306 0.0000 0.0000
0.0000 4.5924 0.0000
-0.2392 0.0000 4.7775
Sc Ta Ir
1 1 2
Cartesian
0.0000 0.0000 0.0000
2.6631 2.2962 2.1211
1.1970 0.0000 2.4945
1.2629 2.2962 4.4805
```

***

(6)
K2SbP: single point on PBEsol structure, meta-GGA SCAN.

Summary:
For the uncorrected energy, the calculation gives -16.25 eV/atom. The volume comes out at 25.28 Å³ per atom. The uncorrected formation energy is -0.17 eV/atom. For the magnetic moment, the calculation gives 0.00 μB/f.u. The polymorph energy (0 for the lowest one) comes out at 1.02 eV/f.u.

Cell and atoms, written as POSCAR:
```
K2SbP
1.0
4.3880 0.0000 0.0000
0.0000 4.3880 0.0000
0.0000 0.0000 5.2527
K Sb P
2 1 1
Cartesian
0.0000 2.1940 0.0000
2.1940 0.0000 0.0000
0.0000 0.0000 2.6263
2.1940 2.1940 2.6263
```

***

(7)
Sr2TaAg: single point on PBEsol structure, meta-GGA SCAN.

Summary:
For the uncorrected energy, the calculation gives -34.89 eV/atom. The volume comes out at 28.08 Å³ per atom. For the magnetic moment, the calculation gives 0.00 μB/f.u.

Cell and atoms, written as POSCAR:
```
Sr2TaAg
1.0
4.9449 0.0000 0.0000
0.0000 1.7687 6.4202
0.0000 -1.7687 6.4202
Sr Ta Ag
2 1 1
Cartesian
0.0000 0.0000 0.0000
2.4725 0.0000 4.0576
0.0000 0.0000 9.1334
2.4725 0.0000 7.8457
```

***

(8)
AsPtRh2: single point on PBEsol structure, meta-GGA SCAN.

Summary:
For the uncorrected energy, the calculation gives -39.46 eV/atom. The volume comes out at 14.48 Å³ per atom. For the magnetic moment, the calculation gives 0.00 μB/f.u.

Cell and atoms, written as POSCAR:
```
AsPtRh2
1.0
1.4151 0.8170 8.3498
-1.4151 0.8170 8.3498
0.0000 -1.6340 8.3498
As Pt Rh
1 1 2
Cartesian
0.0000 0.0000 0.0000
0.0000 0.0000 18.7837
0.0000 0.0000 6.4578
0.0000 0.0000 12.6464
```

***

(9)
TaSn3O: single point on PBEsol structure, meta-GGA SCAN.

Summary:
For the uncorrected energy, the calculation gives -35.35 eV/atom. The volume comes out at 29.58 Å³ per atom. The uncorrected formation energy is 0.77 eV/atom. For the magnetic moment, the calculation gives 1.74 μB/f.u.

Cell and atoms, written as POSCAR:
```
TaSn3O
1.0
5.2884 0.0000 0.0000
0.0000 5.2884 0.0000
0.0000 0.0000 5.2884
Ta Sn O
1 3 1
Cartesian
0.0000 0.0000 0.0000
0.0000 0.0000 2.6442
0.0000 2.6442 0.0000
2.6442 0.0000 0.0000
2.6442 2.6442 2.6442
```

***

(10)
CrRhOF2: single point on PBEsol structure, meta-GGA SCAN.

Summary:
For the uncorrected energy, the calculation gives -13.99 eV/atom. The volume comes out at 13.39 Å³ per atom. The uncorrected formation energy is -0.90 eV/atom. For the magnetic moment, the calculation gives 4.83 μB/f.u. The polymorph energy (0 for the lowest one) comes out at 2.49 eV/f.u.

Cell and atoms, written as POSCAR:
```
CrRhOF2
1.0
4.2713 0.0000 0.0000
0.0000 4.2713 0.0000
0.0000 0.0000 3.6697
Cr Rh O F
1 1 1 2
Cartesian
0.0000 0.0000 0.0000
2.1357 2.1357 1.8348
2.1357 2.1357 0.0000
0.0000 2.1357 1.8348
2.1357 0.0000 1.8348
```

***

(11)
Ce2W3O12: single point on PBEsol structure, meta-GGA SCAN.

Summary:
For the uncorrected energy, the calculation gives -24.71 eV/atom. The volume comes out at 14.31 Å³ per atom. The uncorrected formation energy is -2.77 eV/atom. For the magnetic moment, the calculation gives 2.03 μB/f.u.

Cell and atoms, written as POSCAR:
```
Ce2W3O12
1.0
3.8959 -5.7312 0.0000
3.8959 5.7312 0.0000
-3.7157 0.0000 10.8954
Ce W O
4 6 24
Cartesian
0.9344 1.4068 1.0323
-0.9234 -1.4068 6.4800
4.9995 1.4068 4.4154
3.1416 -1.4068 9.8631
2.9670 4.1449 2.7238
1.1014 1.2133 4.9159
-0.7564 -1.2133 10.3636
4.8325 1.2133 0.5318
2.9747 -1.2133 5.9795
1.1091 -4.1449 8.1715
2.4885 3.3135 1.1645
-0.6342 0.5607 4.9827
1.1157 2.0380 3.2987
-1.3994 0.5336 7.8275
-2.4921 -0.5607 10.4304
0.4584 -0.5336 2.3798
1.3776 2.4872 6.1020
0.8406 2.4872 10.2411
3.4454 3.3135 4.2832
3.1263 0.4112 0.8130
-0.7422 -2.0380 8.7464
1.2684 -0.4112 6.2607
2.8076 0.4112 4.6347
4.8182 2.0380 2.1490
0.9498 -0.4112 10.0824
0.6307 -3.3135 6.6122
3.2355 -2.4872 0.6543
2.6984 -2.4872 4.7934
3.6177 0.5336 8.5156
6.5681 0.5607 0.4650
5.4755 -0.5336 3.0679
2.9604 -2.0380 7.5967
4.7103 -0.5607 5.9127
1.5876 -3.3135 9.7309
```

***

(12)
Y2SiP: single point on PBEsol structure, meta-GGA SCAN.

Summary:
For the uncorrected energy, the calculation gives -19.82 eV/atom. The volume comes out at 20.35 Å³ per atom. The uncorrected formation energy is -0.79 eV/atom. For the magnetic moment, the calculation gives 0.51 μB/f.u. The polymorph energy (0 for the lowest one) comes out at 0.37 eV/f.u.

Cell and atoms, written as POSCAR:
```
Y2SiP
1.0
5.1682 0.0000 0.0000
0.0000 5.1682 0.0000
0.0000 0.0000 3.0473
Y Si P
2 1 1
Cartesian
0.0000 2.5841 0.0000
2.5841 0.0000 0.0000
0.0000 0.0000 1.5236
2.5841 2.5841 1.5236
```

***

(13)
MgZr2Ta: single point on PBEsol structure, meta-GGA SCAN.

Summary:
For the uncorrected energy, the calculation gives -33.06 eV/atom. The volume comes out at 20.47 Å³ per atom. For the magnetic moment, the calculation gives 0.00 μB/f.u.

Cell and atoms, written as POSCAR:
```
MgZr2Ta
1.0
1.7810 -2.3241 0.0000
1.7810 2.3241 0.0000
0.0000 0.0000 9.8902
Mg Zr Ta
1 2 1
Cartesian
0.0000 0.0000 0.0000
0.0000 0.0000 4.7100
1.7810 0.0000 7.2323
1.7810 0.0000 2.4174
```

***

(14)
ScTiPS2: single point on PBEsol structure, meta-GGA SCAN.

Summary:
For the uncorrected energy, the calculation gives -12.77 eV/atom. The volume comes out at 19.52 Å³ per atom. The uncorrected formation energy is -0.78 eV/atom. For the magnetic moment, the calculation gives 0.00 μB/f.u.

Cell and atoms, written as POSCAR:
```
ScTiPS2
1.0
4.5381 0.0000 0.0000
0.0000 4.5381 0.0000
0.0000 0.0000 4.7381
Sc Ti P S
1 1 1 2
Cartesian
0.0000 0.0000 0.0000
2.2691 2.2691 2.3691
2.2691 2.2691 0.0000
0.0000 2.2691 2.3691
2.2691 0.0000 2.3691
```

***

(15)
KLi2Be2: single point on PBEsol structure, meta-GGA SCAN.

Summary:
For the uncorrected energy, the calculation gives -3.82 eV/atom. The volume comes out at 17.91 Å³ per atom. For the magnetic moment, the calculation gives 0.00 μB/f.u.

Cell and atoms, written as POSCAR:
```
KLi2Be2
1.0
8.0657 0.0000 0.0000
0.0000 8.0657 0.0000
0.0000 0.0000 2.7525
K Li Be
2 4 4
Cartesian
0.0000 0.0000 0.0000
4.0328 4.0328 0.0000
1.4354 2.5975 1.3763
2.5975 6.6303 1.3763
5.4682 1.4354 1.3763
6.6303 5.4682 1.3763
0.7706 4.8034 0.0000
3.2623 0.7706 0.0000
4.8034 7.2951 0.0000
7.2951 3.2623 0.0000
```

***

(16)
NbNi3Pd: single point on PBEsol structure, meta-GGA SCAN.

Summary:
For the uncorrected energy, the calculation gives -21.46 eV/atom. The volume comes out at 16.79 Å³ per atom. For the magnetic moment, the calculation gives 0.00 μB/f.u.

Cell and atoms, written as POSCAR:
```
NbNi3Pd
1.0
4.3789 0.0000 0.0000
0.0000 4.3789 0.0000
0.0000 0.0000 4.3789
Nb Ni Pd
1 3 1
Cartesian
0.0000 0.0000 0.0000
0.0000 0.0000 2.1894
0.0000 2.1894 0.0000
2.1894 0.0000 0.0000
2.1894 2.1894 2.1894
```

***

(17)
Tl2ReRh: single point on PBEsol structure, meta-GGA SCAN.

Summary:
For the uncorrected energy, the calculation gives -61.61 eV/atom. The volume comes out at 17.74 Å³ per atom. For the magnetic moment, the calculation gives 0.87 μB/f.u. The polymorph energy (0 for the lowest one) comes out at 1.33 eV/f.u.

Cell and atoms, written as POSCAR:
```
Tl2ReRh
1.0
1.5260 0.8810 8.7991
-1.5260 0.8810 8.7991
0.0000 -1.7621 8.7991
Tl Re Rh
2 1 1
Cartesian
0.0000 0.0000 6.5242
0.0000 0.0000 19.8730
0.0000 0.0000 0.0000
0.0000 0.0000 13.1986
```

***

(18)
KBaP2: single point on PBEsol structure, meta-GGA SCAN.

Summary:
For the uncorrected energy, the calculation gives -17.93 eV/atom. The volume comes out at 34.08 Å³ per atom. For the magnetic moment, the calculation gives 0.00 μB/f.u. The polymorph energy (0 for the lowest one) comes out at 0.00 eV/f.u.

Cell and atoms, written as POSCAR:
```
KBaP2
1.0
4.6972 0.0000 0.0000
0.0000 4.0662 0.0000
-0.0471 0.0000 7.1384
K Ba P
1 1 2
Cartesian
0.0000 0.0000 0.0000
2.3250 0.0000 3.5692
-0.0227 2.0331 4.6374
4.6728 2.0331 2.5010
```

***

(19)
FeCuOs2: single point on PBEsol structure, meta-GGA SCAN.

Summary:
For the uncorrected energy, the calculation gives -44.10 eV/atom. The volume comes out at 12.80 Å³ per atom. For the magnetic moment, the calculation gives 2.91 μB/f.u. The polymorph energy (0 for the lowest one) comes out at 0.00 eV/f.u.

Cell and atoms, written as POSCAR:
```
FeCuOs2
1.0
2.6743 0.0000 0.0000
0.0000 3.7315 0.0000
0.0000 0.0000 5.1303
Fe Cu Os
1 1 2
Cartesian
0.0000 0.0000 0.0000
1.3371 1.8658 3.9657
0.0000 0.0000 2.5995
1.3371 1.8658 1.3744
```

***

(20)
FeTe3N: single point on PBEsol structure, meta-GGA SCAN.

Summary:
For the uncorrected energy, the calculation gives -26.58 eV/atom. The volume comes out at 25.49 Å³ per atom. The uncorrected formation energy is 1.26 eV/atom. For the magnetic moment, the calculation gives 6.64 μB/f.u.

Cell and atoms, written as POSCAR:
```
FeTe3N
1.0
5.0326 0.0000 0.0000
0.0000 5.0326 0.0000
0.0000 0.0000 5.0326
Fe Te N
1 3 1
Cartesian
0.0000 0.0000 0.0000
0.0000 0.0000 2.5163
0.0000 2.5163 0.0000
2.5163 0.0000 0.0000
2.5163 2.5163 2.5163
```

***

(21)
Ti2BeH: single point on PBEsol structure, meta-GGA SCAN.

Summary:
For the uncorrected energy, the calculation gives -9.79 eV/atom. The volume comes out at 11.04 Å³ per atom. For the magnetic moment, the calculation gives 0.00 μB/f.u.

Cell and atoms, written as POSCAR:
```
Ti2BeH
1.0
0.0000 2.8050 2.8050
2.8050 0.0000 2.8050
2.8050 2.8050 0.0000
Ti Be H
2 1 1
Cartesian
1.4025 1.4025 1.4025
4.2075 4.2075 4.2075
0.0000 0.0000 0.0000
2.8050 2.8050 2.8050
```

***

(22)
TcP2Ru: single point on PBEsol structure, meta-GGA SCAN.

Summary:
For the uncorrected energy, the calculation gives -22.53 eV/atom. The volume comes out at 13.47 Å³ per atom. For the magnetic moment, the calculation gives 0.00 μB/f.u. The polymorph energy (0 for the lowest one) comes out at 0.25 eV/f.u.

Cell and atoms, written as POSCAR:
```
TcP2Ru
1.0
2.8482 0.0000 0.0000
0.0000 3.7696 0.0000
0.0000 0.0000 5.0191
Tc P Ru
1 2 1
Cartesian
0.0000 0.0000 0.0000
0.0000 1.8848 2.5095
1.4241 1.8848 0.0000
1.4241 0.0000 2.5095
```

***

(23)
Ni2AgHg: single point on PBEsol structure, meta-GGA SCAN.

Summary:
For the uncorrected energy, the calculation gives -32.69 eV/atom. The volume comes out at 14.19 Å³ per atom. For the magnetic moment, the calculation gives 0.69 μB/f.u.

Cell and atoms, written as POSCAR:
```
Ni2AgHg
1.0
4.6861 -1.4237 0.0000
4.6861 1.4237 0.0000
-1.4255 0.0000 4.2553
Ni Ag Hg
2 1 1
Cartesian
0.0000 0.0000 0.0000
6.2785 0.0000 1.1658
1.1463 0.0000 3.4140
3.6994 0.0000 2.0211
```

***

(24)
NaZn2ReB: single point on PBEsol structure, meta-GGA SCAN.

Summary:
For the uncorrected energy, the calculation gives -20.64 eV/atom. The volume comes out at 14.86 Å³ per atom. For the magnetic moment, the calculation gives 3.25 μB/f.u.

Cell and atoms, written as POSCAR:
```
NaZn2ReB
1.0
4.0595 0.0000 0.0000
0.0000 4.0595 0.0000
0.0000 0.0000 4.5080
Na Zn Re B
1 2 1 1
Cartesian
0.0000 0.0000 0.0000
0.0000 2.0297 2.2540
2.0297 0.0000 2.2540
2.0297 2.0297 0.0000
0.0000 0.0000 2.2540
```

***

(25)
Ti2SnN2: single point on PBEsol structure, meta-GGA SCAN.

Summary:
For the uncorrected energy, the calculation gives -18.23 eV/atom. The volume comes out at 15.31 Å³ per atom. The uncorrected formation energy is -0.92 eV/atom. For the magnetic moment, the calculation gives 0.00 μB/f.u.

Cell and atoms, written as POSCAR:
```
Ti2SnN2
1.0
-1.9668 1.9668 4.9484
1.9668 -1.9668 4.9484
1.9668 1.9668 -4.9484
Ti Sn N
2 1 2
Cartesian
1.9668 0.0000 2.4742
0.0000 1.9668 2.4742
0.0000 0.0000 0.0000
0.0000 0.0000 2.8686
0.0000 0.0000 7.0283
```

***

(26)
YTl2: single point on PBEsol structure, meta-GGA SCAN.

Summary:
For the uncorrected energy, the calculation gives -57.94 eV/atom. The volume comes out at 26.05 Å³ per atom. For the magnetic moment, the calculation gives 0.00 μB/f.u.

Cell and atoms, written as POSCAR:
```
YTl2
1.0
4.9140 0.0000 0.0000
-2.4570 4.2557 0.0000
0.0000 0.0000 3.7372
Y Tl
1 2
Cartesian
0.0000 0.0000 0.0000
0.0000 2.8371 2.3960
2.4570 1.4186 1.3412
```

***

(27)
RbY3Cr: single point on PBEsol structure, meta-GGA SCAN.

Summary:
For the uncorrected energy, the calculation gives -23.06 eV/atom. The volume comes out at 29.95 Å³ per atom. For the magnetic moment, the calculation gives 3.97 μB/f.u.

Cell and atoms, written as POSCAR:
```
RbY3Cr
1.0
5.3105 0.0000 0.0000
0.0000 5.3105 0.0000
0.0000 0.0000 5.3105
Rb Y Cr
1 3 1
Cartesian
0.0000 0.0000 0.0000
0.0000 0.0000 2.6552
0.0000 2.6552 0.0000
2.6552 0.0000 0.0000
2.6552 2.6552 2.6552
```